Material: TmLu2Fe
Method: DFT, PBE
State: optimized geometry

As for the total magnetization: 1.33 μB/f.u. For the volume, the calculation gives 297 Å³/cell.

The space group is R-3m (No. 166, hexagonal axes) and the conventional cell measures 3.4378, 3.4378 and 29.0314 Å, with angles of 90.00, 90.00 and 120.00 degrees. Symmetry generates all atoms from Tm at (0.0000, 0.0000, 0.0000), Lu at (0.0000, 0.0000, 0.2301) and Fe at (0.0000, 0.0000, 0.5000).

---

Material: Zr2MnTlV
Method: DFT, PBE
State: optimized geometry

As for the total magnetization: 0.43 μB/f.u. For the volume, the calculation gives 110 Å³/cell.

The space group is P4/mmm (No. 123) and the conventional cell measures 4.6927, 4.6927 and 4.9906 Å, with angles of 90.00, 90.00 and 90.00 degrees. Symmetry generates all atoms from Zr at (0.0000, 0.5000, 0.0000), Mn at (0.0000, 0.0000, 0.0000), Tl at (0.0000, 0.0000, 0.5000) and V at (0.5000, 0.5000, 0.5000).

---

Material: LaV2Bi2
Method: DFT, PBE
State: optimized geometry

As for the total magnetization: 0.00 μB/f.u. For the volume, the calculation gives 242 Å³/cell.

The space group is I4/mmm (No. 139) and the conventional cell measures 3.9534, 3.9534 and 15.4587 Å, with angles of 90.00, 90.00 and 90.00 degrees. Symmetry generates all atoms from La at (0.0000, 0.0000, 0.0000), V at (0.0000, 0.5000, 0.2500) and Bi at (0.0000, 0.0000, 0.3783).

---

Material: ThScZnAu
Method: DFT, PBE
State: optimized geometry

As for the total magnetization: 0.66 μB/f.u. For the volume, the calculation gives 367 Å³/cell.

The space group is F-43m (No. 216) and the conventional cell measures 7.1578, 7.1578 and 7.1578 Å, with angles of 90.00, 90.00 and 90.00 degrees. Symmetry generates all atoms from Th at (0.0000, 0.0000, 0.0000), Sc at (0.0000, 0.0000, 0.5000), Zn at (0.2500, 0.2500, 0.2500) and Au at (0.2500, 0.2500, 0.7500).

---

Material: Pm9Tm4Pu
Method: DFT, PBE
State: optimized geometry

As for the total magnetization: 5.47 μB/f.u. For the volume, the calculation gives 935 Å³/cell.

The space group is P6_3/mmc (No. 194) and the conventional cell measures 9.8389, 9.8389 and 11.1532 Å, with angles of 90.00, 90.00 and 120.00 degrees. Symmetry generates all atoms from Pm at (0.0721, 0.5360, 0.2500), Pm at (0.2086, 0.4172, 0.5353), Tm at (0.0000, 0.0000, 0.0000), Tm at (0.1106, 0.2212, 0.2500) and Pu at (0.3333, 0.6667, 0.7500).

---

Material: Er4ZnPt2
Method: DFT, PBE
State: optimized geometry

As for the total magnetization: 0.00 μB/f.u. For the volume, the calculation gives 493 Å³/cell.

The space group is R-3m (No. 166, hexagonal axes) and the conventional cell measures 4.8587, 4.8587 and 24.1178 Å, with angles of 90.00, 90.00 and 120.00 degrees. Symmetry generates all atoms from Er at (0.0000, 0.0000, 0.1220), Er at (0.0000, 0.0000, 0.3731), Zn at (0.0000, 0.0000, 0.5000) and Pt at (0.0000, 0.0000, 0.2517).

---

Material: Li2TaTc
Method: DFT, PBE
State: optimized geometry

As for the total magnetization: 0.00 μB/f.u. For the volume, the calculation gives 63 Å³/cell.

The space group is P2/m (No. 10) and the conventional cell measures 2.7189, 4.9395 and 4.7955 Å, with angles of 90.00, 100.21 and 90.00 degrees. Symmetry generates all atoms from Li at (0.2166, 0.0000, 0.2650), Ta at (0.5000, 0.5000, 0.0000) and Tc at (0.0000, 0.5000, 0.5000).

---

Material: PrNdDy3Er
Method: DFT, PBE
State: optimized geometry

As for the total magnetization: 0.00 μB/f.u. For the volume, the calculation gives 794 Å³/cell.

The space group is C2/m (No. 12) and the conventional cell measures 19.7848, 5.6768 and 7.0732 Å, with angles of 90.00, 90.29 and 90.00 degrees. Symmetry generates all atoms from Pr at (0.1464, 0.0000, 0.0287), Nd at (0.0528, 0.5000, 0.2641), Dy at (0.0224, 0.0000, 0.7394), Dy at (0.1659, 0.5000, 0.7329), Dy at (0.2199, 0.5000, 0.2467) and Er at (0.1501, 0.0000, 0.4599).

---

| no. | DFT formation energy (meV per atom) |
| --- | --- |
| 1 | 185 |
| 2 | 866 |
| 3 | -90 |
| 4 | -410 |
| 5 | 158 |
| 6 | -870 |
| 7 | 253 |
| 8 | 188 |